Li3CrP: optimized geometry, GGA-PBE. Values from VASP.

Results
Volume: 20.69 Å³/atom
ΔE_f: 0.869 eV/atom
Symmetry: No. 221
ΔE to the lowest computed polymorph: 0.704 eV/atom

Structure (Quantum ESPRESSO input):
```
&SYSTEM
  ibrav = 0, nat = 5, ntyp = 3
/
ATOMIC_SPECIES
P 30.97 P.upf
Li 6.94 Li.upf
Cr 52.00 Cr.upf
ATOMIC_POSITIONS crystal
P 0.500 0.500 0.500
Li 0.000 0.000 0.500
Li 0.000 0.500 0.000
Li 0.500 0.000 0.000
Cr 0.000 0.000 0.000
CELL_PARAMETERS angstrom
4.694 0.000 0.000
0.000 4.694 0.000
0.000 0.000 4.694
```

=====

LaPm2Nd4Tm2: optimized geometry, GGA-PBE. Values from VASP.

Results
Volume: 34.12 Å³/atom
ΔE_f: 0.022 eV/atom
Symmetry: No. 12

Structure (Quantum ESPRESSO input):
```
&SYSTEM
  ibrav = 0, nat = 9, ntyp = 4
/
ATOMIC_SPECIES
Tm 168.93 Tm.upf
Nd 144.24 Nd.upf
Pm 145.00 Pm.upf
La 138.91 La.upf
ATOMIC_POSITIONS crystal
Tm 0.669 0.338 0.999
Tm 0.331 0.662 0.001
Nd 0.778 0.555 0.671
Nd 0.555 0.111 0.332
Nd 0.222 0.445 0.329
Nd 0.445 0.889 0.668
Pm 0.112 0.224 0.667
Pm 0.888 0.776 0.333
La 0.000 0.000 0.000
CELL_PARAMETERS angstrom
-0.970 -2.153 4.579
-3.785 -4.359 -5.749
7.683 -2.627 0.392
```

=====

Bi4TeIr: optimized geometry, GGA-PBE. Values from VASP.

Results
Volume: 32.77 Å³/atom
Raw formation energy: 0.03 eV per atom
Symmetry: No. 2

Structure (Quantum ESPRESSO input):
```
&SYSTEM
  ibrav = 0, nat = 12, ntyp = 3
/
ATOMIC_SPECIES
Bi 208.98 Bi.upf
Ir 192.22 Ir.upf
Te 127.60 Te.upf
ATOMIC_POSITIONS crystal
Bi 0.915 0.693 0.389
Bi 0.400 0.577 0.230
Bi 0.678 0.171 0.437
Bi 0.600 0.423 0.770
Bi 0.721 0.817 0.822
Bi 0.279 0.183 0.178
Bi 0.085 0.307 0.611
Bi 0.322 0.829 0.563
Ir 0.000 0.000 0.500
Ir 0.500 0.500 0.500
Te 0.255 0.876 0.895
Te 0.745 0.124 0.105
CELL_PARAMETERS angstrom
-3.261 2.451 5.311
-6.062 -0.211 -3.835
-4.944 -6.282 4.604
```

=====

BaHfP2O: optimized geometry, GGA-PBE. Values from VASP.

Results
Volume: 25.33 Å³/atom
Raw formation energy: 0.82 eV per atom
Symmetry: No. 123
ΔE to the lowest computed polymorph: 2.109 eV/atom

Structure (Quantum ESPRESSO input):
```
&SYSTEM
  ibrav = 0, nat = 5, ntyp = 4
/
ATOMIC_SPECIES
P 30.97 P.upf
Hf 178.49 Hf.upf
Ba 137.33 Ba.upf
O 16.00 O.upf
ATOMIC_POSITIONS crystal
P 0.000 0.500 0.000
P 0.500 0.000 0.000
Hf 0.500 0.500 0.500
Ba 0.000 0.000 0.000
O 0.000 0.000 0.500
CELL_PARAMETERS angstrom
5.476 0.000 0.000
0.000 5.476 0.000
0.000 0.000 4.223
```

=====

EuDyAgSn: optimized geometry, GGA-PBE. Values from VASP.

Results
Volume: 27.02 Å³/atom
ΔE_f: -0.521 eV/atom
Symmetry: No. 216

Structure (Quantum ESPRESSO input):
```
&SYSTEM
  ibrav = 0, nat = 4, ntyp = 4
/
ATOMIC_SPECIES
Sn 118.71 Sn.upf
Ag 107.87 Ag.upf
Eu 151.96 Eu.upf
Dy 162.50 Dy.upf
ATOMIC_POSITIONS crystal
Sn 0.250 0.250 0.250
Ag 0.750 0.750 0.750
Eu 0.000 0.000 0.000
Dy 0.500 0.500 0.500
CELL_PARAMETERS angstrom
5.347 0.000 0.000
2.673 4.630 0.000
2.673 1.543 4.366
```

=====

Pr3Y4Ho5: optimized geometry, GGA-PBE. Values from VASP.

Results
Volume: 32.66 Å³/atom
ΔE_f: 0.019 eV/atom
Symmetry: No. 2
ΔE to the lowest computed polymorph: 0.000 eV/atom

Structure (Quantum ESPRESSO input):
```
&SYSTEM
  ibrav = 0, nat = 12, ntyp = 3
/
ATOMIC_SPECIES
Ho 164.93 Ho.upf
Y 88.91 Y.upf
Pr 140.91 Pr.upf
ATOMIC_POSITIONS crystal
Ho 0.334 0.666 0.833
Ho 0.500 0.000 0.500
Ho 0.250 0.500 0.999
Ho 0.750 0.500 0.001
Ho 0.666 0.334 0.167
Y 0.833 0.668 0.834
Y 0.167 0.332 0.166
Y 0.083 0.165 0.332
Y 0.917 0.835 0.668
Pr 0.000 0.000 0.500
Pr 0.418 0.837 0.667
Pr 0.582 0.163 0.333
CELL_PARAMETERS angstrom
-1.894 -1.087 6.854
1.227 -8.959 -2.994
4.205 11.271 4.873
```

=====

KNb2GeSb: optimized geometry, GGA-PBE. Values from VASP.

Results
Volume: 28.21 Å³/atom
Raw formation energy: 0.96 eV per atom
Symmetry: No. 123
ΔE to the lowest computed polymorph: 0.071 eV/atom

Structure (Quantum ESPRESSO input):
```
&SYSTEM
  ibrav = 0, nat = 5, ntyp = 4
/
ATOMIC_SPECIES
Sb 121.76 Sb.upf
K 39.10 K.upf
Nb 92.91 Nb.upf
Ge 72.64 Ge.upf
ATOMIC_POSITIONS crystal
Sb 0.000 0.500 0.000
K 0.500 0.500 0.500
Nb 0.000 0.000 0.500
Nb 0.500 0.000 0.000
Ge 0.000 0.000 0.000
CELL_PARAMETERS angstrom
5.005 0.000 0.000
0.000 5.633 0.000
0.000 0.000 5.005
```

=====

Sb2RuPb: optimized geometry, GGA-PBE. Values from VASP.

Results
Volume: 23.12 Å³/atom
Raw formation energy: 0.52 eV per atom
Symmetry: No. 119

Structure (Quantum ESPRESSO input):
```
&SYSTEM
  ibrav = 0, nat = 4, ntyp = 3
/
ATOMIC_SPECIES
Sb 121.76 Sb.upf
Ru 101.07 Ru.upf
Pb 207.20 Pb.upf
ATOMIC_POSITIONS crystal
Sb 0.250 0.750 0.500
Sb 0.000 0.000 0.000
Ru 0.750 0.250 0.500
Pb 0.500 0.500 0.000
CELL_PARAMETERS angstrom
5.410 -0.011 0.000
1.449 5.212 0.000
-3.430 -2.601 3.278
```

=====

Sc2Cd2P: optimized geometry, GGA-PBE. Values from VASP.

Results
Volume: 22.84 Å³/atom
ΔE_f: -0.426 eV/atom
Symmetry: No. 127

Structure (Quantum ESPRESSO input):
```
&SYSTEM
  ibrav = 0, nat = 10, ntyp = 3
/
ATOMIC_SPECIES
Cd 112.41 Cd.upf
P 30.97 P.upf
Sc 44.96 Sc.upf
ATOMIC_POSITIONS crystal
Cd 0.854 0.354 0.500
Cd 0.146 0.646 0.500
Cd 0.354 0.146 0.500
Cd 0.646 0.854 0.500
P 0.500 0.500 0.000
P 0.000 0.000 0.000
Sc 0.167 0.333 0.000
Sc 0.833 0.667 0.000
Sc 0.667 0.167 0.000
Sc 0.333 0.833 0.000
CELL_PARAMETERS angstrom
6.855 0.000 0.000
0.000 6.855 0.000
0.000 0.000 4.860
```

=====

CaRu2: optimized geometry, GGA-PBE. Values from VASP.

Results
Volume: 17.46 Å³/atom
ΔE_f: 0.653 eV/atom
Symmetry: No. 58

Structure (Quantum ESPRESSO input):
```
&SYSTEM
  ibrav = 0, nat = 6, ntyp = 2
/
ATOMIC_SPECIES
Ca 40.08 Ca.upf
Ru 101.07 Ru.upf
ATOMIC_POSITIONS crystal
Ca 0.500 0.500 0.500
Ca 0.000 0.000 0.000
Ru 0.725 0.500 0.856
Ru 0.275 0.500 0.144
Ru 0.775 0.000 0.356
Ru 0.225 0.000 0.644
CELL_PARAMETERS angstrom
2.796 0.000 0.000
0.000 4.860 0.000
0.000 0.000 7.712
```

=====

PaGeRu2: optimized geometry, GGA-PBE. Values from VASP.

Results
Volume: 17.01 Å³/atom
ΔE_f: 0.036 eV/atom
Symmetry: No. 166
ΔE to the lowest computed polymorph: 0.582 eV/atom

Structure (Quantum ESPRESSO input):
```
&SYSTEM
  ibrav = 0, nat = 4, ntyp = 3
/
ATOMIC_SPECIES
Pa 231.04 Pa.upf
Ru 101.07 Ru.upf
Ge 72.64 Ge.upf
ATOMIC_POSITIONS crystal
Pa 0.500 0.500 0.500
Ru 0.262 0.262 0.215
Ru 0.738 0.738 0.785
Ge 0.000 0.000 0.000
CELL_PARAMETERS angstrom
-0.831 1.846 2.232
-1.012 -1.139 2.599
7.465 0.127 4.708
```

=====

NdPuSn: optimized geometry, GGA-PBE. Values from VASP.

Results
Volume: 36.24 Å³/atom
ΔE_f: 0.506 eV/atom
Symmetry: No. 123
ΔE to the lowest computed polymorph: 0.967 eV/atom

Structure (Quantum ESPRESSO input):
```
&SYSTEM
  ibrav = 0, nat = 3, ntyp = 3
/
ATOMIC_SPECIES
Pu 244.00 Pu.upf
Nd 144.24 Nd.upf
Sn 118.71 Sn.upf
ATOMIC_POSITIONS crystal
Pu 0.500 0.500 0.000
Nd 0.500 0.500 0.500
Sn 0.000 0.000 0.000
CELL_PARAMETERS angstrom
-3.448 -2.067 -1.587
1.451 -3.709 1.679
-2.915 1.086 4.919
```

=====

Summary of total magnetic moment in μB/cell
5.13; 0.00; 0.00; 0.00; 7.29; 0.00; 3.10; 0.00; 0.00; 0.00; 0.00; 6.85
(order as listed above)